VASP calculation (PBE) on crystalline Al2CdCu at its relaxed geometry.

Lattice parameters (Å, degrees): 8.9733 2.8574 5.6966 90.00 105.32 90.00
Space group Cm (No. 8)
Unique sites:
Al: 0.0000 0.0000 0.0000 (multiplicity 2)
Al: 0.2436 0.0000 0.7413 (multiplicity 2)
Cd: 0.4718 0.0000 0.4601 (multiplicity 2)
Cu: 0.2392 0.5000 0.1280 (multiplicity 2)

Computed properties:
Energy of formation (kJ per mole of atoms): 6.1
Density of states at the Fermi level (states/eV/f.u.): 1.0
Total magnetization (μB/f.u.): 0.0